Entry from Alexandria: CdCo2Tc after structural relaxation (GGA-PBE).

Results
symmetry	R-3m
density	9.70	g cm⁻³
energy of formation	0.2982	eV per atom

a = 8.8624 Å, b = 8.8624 Å, c = 8.8624 Å
α = 17.71°, β = 17.71°, γ = 17.71°
Fractional coordinates of all 4 atoms:
Cd 0.0000 0.0000 0.0000
Co 0.2433 0.2433 0.2433
Co 0.7567 0.7567 0.7567
Tc 0.5000 0.5000 0.5000